1.
An optimized crystal structure of K2CeSb2Se6, computed with PBE-GGA.

**E_tot**: -0.1603 hartree per atom

Cell: 7.3023 7.3023 8.2505 Å, 98.79 98.79 120.14°
Positions (direct):
K: 0.1676 0.8324 0.0000
K: 0.8324 0.1676 0.0000
Ce: 0.0000 0.0000 0.5000
Sb: 0.3307 0.6693 0.5000
Sb: 0.6693 0.3307 0.5000
Se: 0.0667 0.4013 0.7001
Se: 0.2595 0.2595 0.3007
Se: 0.4013 0.0667 0.7001
Se: 0.5987 0.9333 0.2999
Se: 0.7405 0.7405 0.6993
Se: 0.9333 0.5987 0.2999

***

2.
An optimized crystal structure of Te2AsWI, computed with PBE-GGA.

**E_tot**: -0.1542 hartree per atom

Cell: 5.2657 5.2657 5.3956 Å, 90.00 90.00 90.00°
Positions (direct):
Te: 0.0000 0.5000 0.0000
Te: 0.5000 0.0000 0.0000
As: 0.0000 0.0000 0.5000
W: 0.5000 0.5000 0.0000
I: 0.5000 0.5000 0.5000

***

3.
An optimized crystal structure of RbNa3Hg4Cl12, computed with PBE-GGA.

**E_tot**: -0.0910 hartree per atom

Cell: 9.2957 9.2957 9.2957 Å, 106.64 106.64 106.64°
Positions (direct):
Rb: 0.0000 0.0000 0.0000
Na: 0.0000 0.5563 0.4437
Na: 0.4437 0.0000 0.5563
Na: 0.5563 0.4437 0.0000
Hg: 0.0591 0.5000 0.9409
Hg: 0.5000 0.5000 0.5000
Hg: 0.5000 0.9409 0.0591
Hg: 0.9409 0.0591 0.5000
Cl: 0.0508 0.6663 0.7782
Cl: 0.1054 0.8946 0.5000
Cl: 0.2218 0.3337 0.9492
Cl: 0.3337 0.9492 0.2218
Cl: 0.3360 0.6640 0.5000
Cl: 0.5000 0.1054 0.8946
Cl: 0.5000 0.3360 0.6640
Cl: 0.6640 0.5000 0.3360
Cl: 0.6663 0.7782 0.0508
Cl: 0.7782 0.0508 0.6663
Cl: 0.8946 0.5000 0.1054
Cl: 0.9492 0.2218 0.3337

***

4.
An optimized crystal structure of Pr4YIn, computed with PBE-GGA.

**E_tot**: -0.1759 hartree per atom

Cell: 8.5710 8.5710 6.5885 Å, 100.28 100.28 116.28°
Positions (direct):
Pr: 0.0923 0.7140 0.9551
Pr: 0.1664 0.4053 0.6239
Pr: 0.2860 0.9077 0.5449
Pr: 0.4053 0.1664 0.1239
Pr: 0.5947 0.8336 0.8761
Pr: 0.7140 0.0923 0.4551
Pr: 0.8336 0.5947 0.3761
Pr: 0.9077 0.2860 0.0449
Y: 0.4137 0.5863 0.2500
Y: 0.5863 0.4137 0.7500
In: 0.0004 0.9996 0.2500
In: 0.9996 0.0004 0.7500

***

5.
An optimized crystal structure of DyTm3Tl3Te8, computed with PBE-GGA.

**E_tot**: -0.1612 hartree per atom

Cell: 8.7197 8.7197 9.6167 Å, 117.01 117.01 59.90°
Positions (direct):
Dy: 0.0000 0.0000 0.0000
Tm: 0.0000 0.5000 0.0000
Tm: 0.5000 0.0000 0.0000
Tm: 0.5000 0.5000 0.0000
Tl: 0.0000 0.0000 0.5000
Tl: 0.0000 0.5000 0.5000
Tl: 0.5000 0.0000 0.5000
Te: 0.2403 0.2403 0.2137
Te: 0.2404 0.7331 0.2138
Te: 0.2625 0.2625 0.7874
Te: 0.2669 0.7596 0.7862
Te: 0.7331 0.2404 0.2138
Te: 0.7375 0.7375 0.2126
Te: 0.7596 0.2669 0.7862
Te: 0.7597 0.7597 0.7863

***

6.
An optimized crystal structure of MgTl, computed with PBE-GGA.

**E_tot**: -0.0733 hartree per atom

Cell: 5.8902 5.8902 5.8902 Å, 90.00 90.00 90.00°
Positions (direct):
Mg: 0.1001 0.3999 0.6001
Mg: 0.3999 0.6001 0.1001
Mg: 0.6001 0.1001 0.3999
Mg: 0.8999 0.8999 0.8999
Tl: 0.0958 0.9042 0.4042
Tl: 0.4042 0.0958 0.9042
Tl: 0.5958 0.5958 0.5958
Tl: 0.9042 0.4042 0.0958

***

7.
An optimized crystal structure of BeAl2Tl, computed with PBE-GGA.

**E_tot**: -0.1053 hartree per atom

Cell: 4.2474 4.2474 8.0084 Å, 90.00 90.00 90.00°
Positions (direct):
Be: 0.0000 0.0000 0.0000
Be: 0.5000 0.5000 0.5000
Al: 0.0000 0.0000 0.5000
Al: 0.0000 0.5000 0.2500
Al: 0.5000 0.0000 0.7500
Al: 0.5000 0.5000 0.0000
Tl: 0.0000 0.5000 0.7500
Tl: 0.5000 0.0000 0.2500